BaLi2USe4: optimized geometry, GGA-PBE.

Summary:
As for the density of states at the Fermi level: 7.14 states/eV/f.u. As for the formation energy (no corrections): -1.2694 eV per atom.

a = 7.255 Å, b = 7.289 Å, c = 8.535 Å
α = 90.00°, β = 90.00°, γ = 90.00°
Fractional positions:
Ba 0.000 0.000 0.000
Ba 0.500 0.500 0.500
Li 0.000 0.500 0.249
Li 0.000 0.500 0.751
Li 0.500 0.000 0.251
Li 0.500 0.000 0.749
U 0.000 0.000 0.500
U 0.500 0.500 0.000
Se 0.217 0.217 0.314
Se 0.217 0.783 0.686
Se 0.283 0.283 0.814
Se 0.283 0.717 0.186
Se 0.717 0.283 0.186
Se 0.717 0.717 0.814
Se 0.783 0.217 0.686
Se 0.783 0.783 0.314

---

RbYSeN2: optimized geometry, GGA-PBE.

Summary:
The polymorph energy (0 for the lowest one) comes out at 0.000 eV/atom. As for the density of states at the Fermi level: 2.05 states/eV/f.u. As for the formation energy (no corrections): 0.1736 eV per atom.

a = 4.797 Å, b = 4.797 Å, c = 5.634 Å
α = 90.00°, β = 90.00°, γ = 90.00°
Fractional positions:
Rb 0.000 0.000 0.000
Y 0.500 0.500 0.500
Se 0.500 0.500 0.000
N 0.000 0.500 0.500
N 0.500 0.000 0.500

---

Na2ScIrO4: optimized geometry, GGA-PBE.

Summary:
As for the density of states at the Fermi level: 4.25 states/eV/f.u. As for the formation energy (no corrections): -1.7219 eV per atom.

a = 5.842 Å, b = 5.842 Å, c = 6.398 Å
α = 90.00°, β = 90.00°, γ = 90.00°
Fractional positions:
Na 0.000 0.000 0.000
Na 0.000 0.500 0.250
Na 0.500 0.000 0.750
Na 0.500 0.500 0.500
Sc 0.000 0.500 0.750
Sc 0.500 0.000 0.250
Ir 0.000 0.000 0.500
Ir 0.500 0.500 0.000
O 0.159 0.296 0.537
O 0.204 0.659 0.963
O 0.296 0.841 0.463
O 0.341 0.204 0.037
O 0.659 0.796 0.037
O 0.704 0.159 0.463
O 0.796 0.341 0.963
O 0.841 0.704 0.537

---

LiCrTcPt: optimized geometry, GGA-PBE.

Summary:
As for the formation energy: -82 meV/atom. As for the density of states at the Fermi level: 2.06 states/eV/f.u.

a = 5.922 Å, b = 5.922 Å, c = 5.922 Å
α = 90.00°, β = 90.00°, γ = 90.00°
Fractional positions:
Li 0.000 0.000 0.000
Li 0.000 0.500 0.500
Li 0.500 0.000 0.500
Li 0.500 0.500 0.000
Cr 0.000 0.000 0.500
Cr 0.000 0.500 0.000
Cr 0.500 0.000 0.000
Cr 0.500 0.500 0.500
Tc 0.250 0.250 0.750
Tc 0.250 0.750 0.250
Tc 0.750 0.250 0.250
Tc 0.750 0.750 0.750
Pt 0.250 0.250 0.250
Pt 0.250 0.750 0.750
Pt 0.750 0.250 0.750
Pt 0.750 0.750 0.250

---

Li2CeP2Pd2: optimized geometry, GGA-PBE.

Summary:
As for the formation energy: -956 meV/atom. As for the density of states at the Fermi level: 5.28 states/eV/f.u.

a = 7.915 Å, b = 7.915 Å, c = 7.915 Å
α = 30.51°, β = 30.51°, γ = 30.51°
Fractional positions:
Li 0.143 0.143 0.143
Li 0.857 0.857 0.857
Ce 0.000 0.000 0.000
P 0.255 0.255 0.255
P 0.745 0.745 0.745
Pd 0.428 0.428 0.428
Pd 0.572 0.572 0.572

---

Pr6CS5: optimized geometry, GGA-PBE.

Summary:
As for the density of states at the Fermi level: 4.88 states/eV/f.u. As for the formation energy (no corrections): -1.7384 eV per atom.

a = 7.045 Å, b = 7.045 Å, c = 7.065 Å
α = 99.54°, β = 99.54°, γ = 119.93°
Fractional positions:
Pr 0.077 0.387 0.733
Pr 0.231 0.231 0.267
Pr 0.387 0.077 0.733
Pr 0.613 0.923 0.267
Pr 0.769 0.769 0.733
Pr 0.923 0.613 0.267
C 0.000 0.000 0.500
S 0.170 0.830 0.000
S 0.334 0.666 0.500
S 0.500 0.500 0.000
S 0.666 0.334 0.500
S 0.830 0.170 0.000

---

BaCdAgPd3: optimized geometry, GGA-PBE.

Summary:
As for the formation energy: -173 meV/atom. As for the density of states at the Fermi level: 2.53 states/eV/f.u.

a = 7.312 Å, b = 7.312 Å, c = 6.404 Å
α = 90.00°, β = 90.00°, γ = 127.42°
Fractional positions:
Ba 0.188 0.812 0.750
Ba 0.812 0.188 0.250
Cd 0.147 0.853 0.250
Cd 0.853 0.147 0.750
Ag 0.417 0.583 0.750
Ag 0.583 0.417 0.250
Pd 0.212 0.212 0.000
Pd 0.212 0.212 0.500
Pd 0.363 0.637 0.250
Pd 0.637 0.363 0.750
Pd 0.788 0.788 0.000
Pd 0.788 0.788 0.500

---

NbPd: optimized geometry, GGA-PBE.

Summary:
As for the formation energy: 1059 meV/atom. As for the density of states at the Fermi level: 2.90 states/eV/f.u.

a = 5.826 Å, b = 5.826 Å, c = 5.826 Å
α = 90.00°, β = 90.00°, γ = 90.00°
Fractional positions:
Nb 0.000 0.000 0.000
Nb 0.000 0.500 0.500
Nb 0.500 0.000 0.500
Nb 0.500 0.500 0.000
Pd 0.250 0.250 0.750
Pd 0.250 0.750 0.250
Pd 0.750 0.250 0.250
Pd 0.750 0.750 0.750

---

TbNbFeRu: optimized geometry, GGA-PBE.

Summary:
As for the formation energy: -33 meV/atom. As for the density of states at the Fermi level: 2.85 states/eV/f.u.

a = 6.486 Å, b = 6.486 Å, c = 6.486 Å
α = 90.00°, β = 90.00°, γ = 90.00°
Fractional positions:
Tb 0.000 0.000 0.000
Tb 0.000 0.500 0.500
Tb 0.500 0.000 0.500
Tb 0.500 0.500 0.000
Nb 0.000 0.000 0.500
Nb 0.000 0.500 0.000
Nb 0.500 0.000 0.000
Nb 0.500 0.500 0.500
Fe 0.250 0.250 0.250
Fe 0.250 0.750 0.750
Fe 0.750 0.250 0.750
Fe 0.750 0.750 0.250
Ru 0.250 0.250 0.750
Ru 0.250 0.750 0.250
Ru 0.750 0.250 0.250
Ru 0.750 0.750 0.750

---

PrYIrPd: optimized geometry, GGA-PBE.

Summary:
As for the formation energy: -761 meV/atom. The polymorph energy (0 for the lowest one) comes out at 0.000 eV/atom. As for the density of states at the Fermi level: 2.58 states/eV/f.u.

a = 4.466 Å, b = 3.850 Å, c = 10.795 Å
α = 90.00°, β = 90.00°, γ = 90.00°
Fractional positions:
Pr 0.000 0.000 0.000
Pr 0.000 0.500 0.500
Y 0.500 0.000 0.721
Y 0.500 0.500 0.221
Ir 0.000 0.000 0.270
Ir 0.000 0.500 0.770
Pd 0.500 0.000 0.439
Pd 0.500 0.500 0.939

---

SrLi17Pm: optimized geometry, GGA-PBE.

Summary:
As for the formation energy: 53 meV/atom. As for the density of states at the Fermi level: 13.57 states/eV/f.u.

a = 7.640 Å, b = 7.640 Å, c = 7.640 Å
α = 82.67°, β = 82.67°, γ = 82.67°
Fractional positions:
Sr 0.000 0.000 0.000
Li 0.053 0.356 0.642
Li 0.053 0.642 0.356
Li 0.216 0.692 0.692
Li 0.254 0.254 0.254
Li 0.348 0.348 0.854
Li 0.348 0.854 0.348
Li 0.356 0.053 0.642
Li 0.356 0.642 0.053
Li 0.449 0.449 0.449
Li 0.508 0.994 0.994
Li 0.642 0.053 0.356
Li 0.642 0.356 0.053
Li 0.692 0.216 0.692
Li 0.692 0.692 0.216
Li 0.854 0.348 0.348
Li 0.994 0.508 0.994
Li 0.994 0.994 0.508
Pm 0.690 0.690 0.690

---

PrSi3Pd9: optimized geometry, GGA-PBE.

Summary:
As for the density of states at the Fermi level: 6.63 states/eV/f.u. As for the formation energy (no corrections): -0.6267 eV per atom.

a = 7.078 Å, b = 7.078 Å, c = 6.395 Å
α = 96.62°, β = 96.62°, γ = 136.69°
Fractional positions:
Pr 0.000 0.000 0.000
Si 0.000 0.500 0.000
Si 0.500 0.000 0.000
Si 0.500 0.500 0.500
Pd 0.000 0.000 0.500
Pd 0.067 0.701 0.682
Pd 0.299 0.933 0.318
Pd 0.313 0.534 0.773
Pd 0.466 0.687 0.227
Pd 0.534 0.313 0.773
Pd 0.687 0.466 0.227
Pd 0.701 0.067 0.682
Pd 0.933 0.299 0.318